No. 1
Rb6Sn2S7: optimized geometry, PBEsol.

Cell and atoms, written as POSCAR:
```
Rb6Sn2S7
1.0
9.885 0.000 0.000
0.000 13.456 0.000
0.000 0.000 14.715
S Rb Sn
28 24 8
direct
0.132 0.928 0.637
0.655 0.895 0.176
0.023 0.084 0.265
0.481 0.005 0.511
0.403 0.828 0.986
0.523 0.416 0.735
0.387 0.729 0.565
0.294 0.797 0.241
0.019 0.995 0.011
0.794 0.703 0.759
0.519 0.505 0.989
0.977 0.584 0.235
0.613 0.229 0.935
0.097 0.172 0.486
0.632 0.572 0.363
0.113 0.271 0.065
0.845 0.105 0.676
0.206 0.203 0.741
0.981 0.495 0.489
0.597 0.328 0.514
0.477 0.916 0.765
0.903 0.672 0.014
0.887 0.771 0.435
0.345 0.395 0.324
0.155 0.605 0.824
0.706 0.297 0.259
0.368 0.072 0.137
0.868 0.428 0.863
0.970 0.835 0.190
0.651 0.572 0.587
0.065 0.683 0.619
0.640 0.652 0.144
0.151 0.928 0.413
0.530 0.165 0.690
0.140 0.848 0.856
0.777 0.136 0.438
0.349 0.072 0.913
0.565 0.817 0.381
0.030 0.335 0.310
0.277 0.364 0.562
0.246 0.386 0.876
0.254 0.614 0.376
0.435 0.317 0.119
0.723 0.864 0.938
0.860 0.348 0.644
0.470 0.665 0.810
0.935 0.183 0.881
0.754 0.886 0.624
0.849 0.428 0.087
0.360 0.152 0.356
0.746 0.114 0.124
0.223 0.636 0.062
0.577 0.391 0.365
0.077 0.109 0.635
0.423 0.891 0.135
0.923 0.609 0.865
0.380 0.896 0.619
0.620 0.396 0.881
0.880 0.604 0.381
0.120 0.104 0.119
```

Raw total energy, eV/atom: -4.03
Formation energy (no corrections), kJ per mole of atoms: -97
V, Å³ per atom: 32.620
Total magnetization, μB/f.u.: 0.00


No. 2
RbSrS2: optimized geometry, PBEsol.

Cell and atoms, written as POSCAR:
```
RbSrS2
1.0
-2.975 4.310 0.377
-4.635 0.213 -2.457
-4.453 -0.118 2.780
Rb Sr S
1 1 2
direct
0.000 0.000 0.000
0.500 0.500 0.500
0.250 0.250 0.250
0.750 0.750 0.750
```

Raw total energy, eV/atom: -4.06
Formation energy (no corrections), kJ per mole of atoms: -111
V, Å³ per atom: 25.591
Total magnetization, μB/f.u.: 0.83


No. 3
Rb3TaS: optimized geometry, PBEsol.

Cell and atoms, written as POSCAR:
```
Rb3TaS
1.0
6.262 0.000 0.000
0.000 6.262 0.000
0.000 0.000 6.262
Rb S Ta
3 1 1
direct
0.000 0.000 0.500
0.500 0.000 0.000
0.000 0.500 0.000
0.000 0.000 0.000
0.500 0.500 0.500
```

Raw total energy, eV/atom: -3.15
Formation energy (no corrections), kJ per mole of atoms: 83
V, Å³ per atom: 49.099
Total magnetization, μB/f.u.: 4.00


No. 4
RbYTaS2: optimized geometry, PBEsol.

Cell and atoms, written as POSCAR:
```
RbYTaS2
1.0
-4.788 -1.036 -1.918
0.977 -5.157 0.348
-2.104 -0.043 5.275
Y S Ta Rb
1 2 1 1
direct
0.000 0.000 0.000
0.000 0.500 0.000
0.500 0.000 0.000
0.000 0.000 0.500
0.500 0.500 0.500
```

Raw total energy, eV/atom: -5.43
Formation energy (no corrections), kJ per mole of atoms: 39
V, Å³ per atom: 31.428
Total magnetization, μB/f.u.: 3.52


No. 5
RbTbS2: optimized geometry, PBEsol.

Cell and atoms, written as POSCAR:
```
RbTbS2
1.0
-0.178 3.271 2.349
0.524 -0.347 3.982
7.558 2.018 1.222
S Rb Tb
2 1 1
direct
0.769 0.769 0.694
0.231 0.231 0.306
0.000 0.000 0.000
0.500 0.500 0.500
```

Raw total energy, eV/atom: -5.58
Formation energy (no corrections), kJ per mole of atoms: -182
V, Å³ per atom: 26.624
Total magnetization, μB/f.u.: 0.00


No. 6
RbTe2S2: optimized geometry, PBEsol.

Cell and atoms, written as POSCAR:
```
RbTe2S2
1.0
5.375 0.000 0.000
0.000 5.375 0.000
-2.688 -2.688 5.800
Te S Rb
2 2 1
direct
0.299 0.299 0.598
0.701 0.701 0.402
0.750 0.250 0.500
0.250 0.750 0.500
0.000 0.000 0.000
```

Raw total energy, eV/atom: -3.63
Formation energy (no corrections), kJ per mole of atoms: -25
Distance to the lowest polymorph of the same formula, kJ/mol of formula units: 0
V, Å³ per atom: 33.515
Total magnetization, μB/f.u.: 0.00


No. 7
Rb2TeS2: optimized geometry, PBEsol.

Cell and atoms, written as POSCAR:
```
Rb2TeS2
1.0
-2.540 -1.990 3.837
-3.664 -4.467 -4.743
5.302 -5.207 0.809
Rb S Te
4 4 2
direct
0.500 0.848 0.348
0.500 0.348 0.152
0.500 0.652 0.848
0.500 0.152 0.652
0.000 0.331 0.831
0.000 0.831 0.669
0.000 0.169 0.331
0.000 0.669 0.169
0.000 0.500 0.500
0.000 0.000 0.000
```

Raw total energy, eV/atom: -3.54
Formation energy (no corrections), kJ per mole of atoms: -65
V, Å³ per atom: 28.016
Total magnetization, μB/f.u.: 0.00


No. 8
RbTe2S2: optimized geometry, PBEsol.

Cell and atoms, written as POSCAR:
```
RbTe2S2
1.0
4.210 0.000 0.000
0.000 8.846 0.000
0.000 0.000 8.846
Te S Rb
4 4 2
direct
0.500 0.711 0.789
0.500 0.289 0.211
0.500 0.211 0.711
0.500 0.789 0.289
0.000 0.319 0.819
0.000 0.819 0.681
0.000 0.681 0.181
0.000 0.181 0.319
0.000 0.000 0.000
0.000 0.500 0.500
```

Raw total energy, eV/atom: -3.57
Formation energy (no corrections), kJ per mole of atoms: -20
Distance to the lowest polymorph of the same formula, kJ/mol of formula units: 29
V, Å³ per atom: 32.946
Total magnetization, μB/f.u.: 0.00